# Th2PSe GGA-PBE relaxed
# Theoretical density = 9.247 g/cm³
# Distance to the lowest polymorph of the same formula = 0 meV per atom
# Raw total energy = -7.537 eV per atom
# Raw formation energy = -36.99 kcal/mol of atoms
data_Th2PSe
_chemical_formula_sum 'Th2 P1 Se1'
_cell_length_a 4.139
_cell_length_b 4.139
_cell_length_c 7.352
_cell_angle_alpha 89.96
_cell_angle_beta 106.37
_cell_angle_gamma 120.05
_symmetry_space_group_name_H-M 'P 1'
_symmetry_Int_Tables_number 1
loop_
_symmetry_equiv_pos_as_xyz
'x,y,z'
loop_
_atom_site_label
_atom_site_type_symbol
_atom_site_fract_x
_atom_site_fract_y
_atom_site_fract_z
Th1 Th 0.514 0.257 0.770
Th2 Th 0.486 0.743 0.230
P1 P 0.000 0.000 0.000
Se1 Se 0.000 0.500 0.500